Here is SbTe2O after structural relaxation from Alexandria via LeMat-Bulk. Energies are from PBE.

abc: 7.078 7.078 7.078
angles: 90.00 90.00 90.00
Space group Fm-3m (No. 225)
Asymmetric unit:
Sb 0.000 0.000 0.000 [4 per cell]
Te 0.250 0.250 0.250 [8 per cell]
O 0.000 0.000 0.500 [4 per cell]

Values from the calculation:
- total DFT energy (no corrections) (eV per atom) = -3.414
- uncorrected formation energy (kJ/mol of formula units) = 165
- N(E_F) (states/eV per cell) = 16.766
- energy above the most stable polymorph in this dataset (meV/atom) = 468
- crystal system = cubic
- V (Å³ per atom) = 22.16

=====

Here is SbTe3O9 after structural relaxation from Alexandria via LeMat-Bulk. Energies are from PBE.

abc: 13.598 6.873 9.552
angles: 90.00 119.75 90.00
Space group Cc (No. 9)
Asymmetric unit:
Sb 0.000 0.238 0.000 [4 per cell]
Te 0.091 0.271 0.507 [4 per cell]
Te 0.238 0.033 0.862 [4 per cell]
Te 0.366 0.478 0.125 [4 per cell]
O 0.005 0.146 0.799 [4 per cell]
O 0.110 0.444 0.028 [4 per cell]
O 0.135 0.057 0.115 [4 per cell]
O 0.208 0.278 0.737 [4 per cell]
O 0.209 0.249 0.451 [4 per cell]
O 0.326 0.190 0.053 [4 per cell]
O 0.371 0.070 0.369 [4 per cell]
O 0.398 0.499 0.948 [4 per cell]
O 0.471 0.265 0.686 [4 per cell]

Values from the calculation:
- total DFT energy (no corrections) (eV per atom) = -5.439
- uncorrected formation energy (kJ/mol of formula units) = -1209
- N(E_F) (states/eV per cell) = 15.732
- crystal system = monoclinic
- V (Å³ per atom) = 14.91

=====

Here is SbTe2O after structural relaxation from Alexandria via LeMat-Bulk. Energies are from PBE.

abc: 3.2650 3.2650 29.2381
angles: 90.00 90.00 120.00
Space group R-3m (No. 166, hexagonal axes)
Asymmetric unit:
Sb 0.0000 0.0000 0.0000 [3 per cell]
Te 0.0000 0.0000 0.1053 [6 per cell]
O 0.0000 0.0000 0.5000 [3 per cell]

Values from the calculation:
- total DFT energy (no corrections) (eV per atom) = -3.655
- uncorrected formation energy (kJ/mol of formula units) = 72
- N(E_F) (states/eV per cell) = 7.071
- energy above the most stable polymorph in this dataset (meV/atom) = 227
- crystal system = trigonal
- V (Å³ per atom) = 22.49

=====

Here is Sb2Te2O9 after structural relaxation from Alexandria via LeMat-Bulk. Energies are from PBE.

abc: 22.305 4.958 14.784
angles: 90.00 107.26 90.00
Space group P2_1/c (No. 14)
Asymmetric unit:
Sb 0.049 0.105 0.309 [4 per cell]
Sb 0.162 0.690 0.019 [4 per cell]
Sb 0.347 0.206 0.346 [4 per cell]
Sb 0.447 0.705 0.283 [4 per cell]
Te 0.056 0.220 0.073 [4 per cell]
Te 0.234 0.674 0.336 [4 per cell]
Te 0.279 0.138 0.107 [4 per cell]
Te 0.442 0.654 0.057 [4 per cell]
O 0.011 0.063 0.411 [4 per cell]
O 0.031 0.007 0.788 [4 per cell]
O 0.092 0.099 0.207 [4 per cell]
O 0.096 0.534 0.501 [4 per cell]
O 0.125 0.030 0.601 [4 per cell]
O 0.130 0.527 0.888 [4 per cell]
O 0.215 0.595 0.453 [4 per cell]
O 0.216 0.594 0.632 [4 per cell]
O 0.233 0.075 0.537 [4 per cell]
O 0.264 0.032 0.353 [4 per cell]
O 0.292 0.152 0.722 [4 per cell]
O 0.315 0.529 0.399 [4 per cell]
O 0.368 0.593 0.772 [4 per cell]
O 0.383 0.097 0.481 [4 per cell]
O 0.404 0.550 0.153 [4 per cell]
O 0.425 0.085 0.858 [4 per cell]
O 0.475 0.522 0.702 [4 per cell]
O 0.491 0.612 0.909 [4 per cell]

Values from the calculation:
- total DFT energy (no corrections) (eV per atom) = -5.696
- uncorrected formation energy (kJ/mol of formula units) = -1437
- N(E_F) (states/eV per cell) = 0.000
- energy above the most stable polymorph in this dataset (meV/atom) = 43
- crystal system = monoclinic
- V (Å³ per atom) = 15.01

=====

Here is Sb2TeO after structural relaxation from Alexandria via LeMat-Bulk. Energies are from PBE.

abc: 5.536 5.536 14.428
angles: 90.00 90.00 90.00
Space group I-42d (No. 122)
Asymmetric unit:
Sb 0.107 0.250 0.125 [8 per cell]
Te 0.000 0.000 0.500 [4 per cell]
O 0.000 0.000 0.000 [4 per cell]

Values from the calculation:
- total DFT energy (no corrections) (eV per atom) = -4.273
- uncorrected formation energy (kJ/mol of formula units) = -72
- N(E_F) (states/eV per cell) = 4.863
- energy above the most stable polymorph in this dataset (meV/atom) = 0
- crystal system = tetragonal
- V (Å³ per atom) = 27.64

=====

Here is SbTeO2 after structural relaxation from Alexandria via LeMat-Bulk. Energies are from PBE.

abc: 3.5706 3.5706 20.0745
angles: 90.00 90.00 120.00
Space group R-3m (No. 166, hexagonal axes)
Asymmetric unit:
Sb 0.0000 0.0000 0.0000 [3 per cell]
Te 0.0000 0.0000 0.5000 [3 per cell]
O 0.0000 0.0000 0.3889 [6 per cell]

Values from the calculation:
- total DFT energy (no corrections) (eV per atom) = -4.908
- uncorrected formation energy (kJ/mol of formula units) = -236
- N(E_F) (states/eV per cell) = 4.117
- energy above the most stable polymorph in this dataset (meV/atom) = 0
- crystal system = trigonal
- V (Å³ per atom) = 18.47

=====

Number 1: magnetic moment 0.0 μB/cell. Number 2: magnetic moment 0.0 μB/cell. Number 3: magnetic moment 0.0 μB/cell. Number 4: magnetic moment 0.0 μB/cell. Number 5: magnetic moment 0.0 μB/cell. Number 6: magnetic moment 0.0 μB/cell.